Entry 1:
ZrCrCuS4: relaxed, PBE-GGA.

Properties
formation energy (no corrections): -0.658 eV/atom

Geometry as CIF:
```
data_ZrCrCuS4
_chemical_formula_sum 'Zr4 Cr4 Cu4 S16'
_space_group_name_H-M_alt 'P m n 21'
_space_group_IT_number 31
_space_group_name_Hall 'P 2ac -2'
_cell_length_a 7.081
_cell_length_b 6.693
_cell_length_c 11.048
_cell_angle_alpha 90.00
_cell_angle_beta 90.00
_cell_angle_gamma 90.00
loop_
_atom_site_label
_atom_site_fract_x
_atom_site_fract_y
_atom_site_fract_z
_atom_site_occupancy
Zr1 0.000 0.162 0.000 1
Zr2 0.000 0.283 0.677 1
Cr1 0.000 0.652 0.909 1
Cr2 0.000 0.787 0.199 1
Cu1 0.000 0.393 0.377 1
Cu2 0.000 0.903 0.576 1
S1 0.000 0.125 0.240 1
S2 0.000 0.491 0.091 1
S3 0.000 0.577 0.562 1
S4 0.000 0.932 0.785 1
S5 0.234 0.378 0.841 1
S6 0.237 0.872 0.033 1
```


Entry 2:
ZrCrCuS4: relaxed, PBE-GGA.

Properties
formation energy (no corrections): -0.971 eV/atom

Geometry as CIF:
```
data_ZrCrCuS4
_chemical_formula_sum 'Zr4 Cr4 Cu4 S16'
_space_group_name_H-M_alt 'I m a 2'
_space_group_IT_number 46
_space_group_name_Hall 'I 2 -2a'
_cell_length_a 7.251
_cell_length_b 10.117
_cell_length_c 7.241
_cell_angle_alpha 90.00
_cell_angle_beta 90.00
_cell_angle_gamma 90.00
loop_
_atom_site_label
_atom_site_fract_x
_atom_site_fract_y
_atom_site_fract_z
_atom_site_occupancy
Zr1 0.250 0.249 0.000 1
Cr1 0.000 0.000 0.248 1
Cu1 0.250 0.621 0.248 1
S1 0.000 0.241 0.249 1
S2 0.250 0.503 0.975 1
S3 0.250 0.504 0.521 1
```


Entry 3:
ZrCrCuS4: relaxed, PBE-GGA.

Properties
formation energy (no corrections): -0.900 eV/atom

Geometry as CIF:
```
data_ZrCrCuS4
_chemical_formula_sum 'Zr2 Cr2 Cu2 S8'
_space_group_name_H-M_alt 'P 1 2/m 1'
_space_group_IT_number 10
_space_group_name_Hall '-P 2y'
_cell_length_a 6.057
_cell_length_b 3.595
_cell_length_c 11.728
_cell_angle_alpha 90.00
_cell_angle_beta 91.48
_cell_angle_gamma 90.00
loop_
_atom_site_label
_atom_site_fract_x
_atom_site_fract_y
_atom_site_fract_z
_atom_site_occupancy
Zr1 0.010 0.000 0.256 1
Cr1 0.481 0.500 0.243 1
Cu1 0.000 0.000 0.000 1
Cu2 0.500 0.500 0.500 1
S1 0.181 0.500 0.383 1
S2 0.185 0.500 0.872 1
S3 0.333 0.000 0.124 1
S4 0.359 0.000 0.638 1
```


Entry 4:
ZrCrCuS4: relaxed, PBE-GGA.

Properties
formation energy (no corrections): -0.933 eV/atom

Geometry as CIF:
```
data_ZrCrCuS4
_chemical_formula_sum 'Zr2 Cr2 Cu2 S8'
_space_group_name_H-M_alt 'C 1 m 1'
_space_group_IT_number 8
_space_group_name_Hall 'C -2y'
_cell_length_a 12.631
_cell_length_b 3.607
_cell_length_c 6.163
_cell_angle_alpha 90.00
_cell_angle_beta 98.07
_cell_angle_gamma 90.00
loop_
_atom_site_label
_atom_site_fract_x
_atom_site_fract_y
_atom_site_fract_z
_atom_site_occupancy
Zr1 0.000 0.000 0.000 1
Cr1 0.496 0.000 0.489 1
Cu1 0.214 0.500 0.554 1
S1 0.115 0.500 0.844 1
S2 0.118 0.000 0.372 1
S3 0.385 0.000 0.137 1
S4 0.391 0.500 0.606 1
```


How do the records compare in ΔE to the lowest computed polymorph? In the order shown, they have 313, 0, 71, 38 meV per atom.
How do the records compare in Fermi-level density of states? In the order shown, they have 8.79, 4.84, 0.37, 0.07 states/eV per cell.